[1]
KVH2 | PBE | optimized geometry

It has space group I-42d (No. 122), with a = 5.734 Å, b = 5.734 Å, c = 7.758 Å, α = 90.00°, β = 90.00° and γ = 90.00°. The inequivalent atoms are K at (0.000, 0.000, 0.000), V at (0.000, 0.000, 0.500) and H at (0.135, 0.750, 0.625).

The calculated total energy comes out at -0.145 hartree per atom. The magnetic moment is 1.002 μB/atom. For the density of states at the Fermi level, the calculation gives 3.6 states/eV/f.u.

---

[2]
KVH2 | PBE | optimized geometry

It has space group Fm-3m (No. 225), with a = 6.147 Å, b = 6.147 Å, c = 6.147 Å, α = 90.00°, β = 90.00° and γ = 90.00°. The inequivalent atoms are K at (0.000, 0.000, 0.000), V at (0.000, 0.000, 0.500) and H at (0.250, 0.250, 0.250).

The calculated total energy comes out at -0.123 hartree per atom. The magnetic moment is 0.999 μB/atom. For the density of states at the Fermi level, the calculation gives 3.0 states/eV/f.u.